Record 1
This record from the Alexandria database describes a relaxed KHg8Pd2 crystal. The functional is PBE.

Results
- Calculated volume: 26.63 Å³ per atom
- E_form: -0.113 eV per atom
- DOS at the Fermi energy: 3.6 states/eV/f.u.

a = 8.9182 Å, b = 12.2436 Å, c = 5.4799 Å
α = 90.00°, β = 101.77°, γ = 90.00°
With the nearest neighbours (Å) after each atom.
Space group C2/m (No. 12)
Asymmetric unit:
1 K 0.0000 0.0000 0.0000 [2 per cell]  8 Hg 3.36-3.56
2 Hg 0.0000 0.2740 0.0000 [4 per cell]  2 Pd 2.75
3 Hg 0.0960 0.5000 0.7775 [4 per cell]  2 Pd 2.95, 4 Hg 3.17-3.25
4 Hg 0.2107 0.1263 0.5973 [8 per cell]  2 Pd 2.79-2.90, 1 Hg 3.09
5 Pd 0.0000 0.2966 0.5000 [4 per cell]  8 Hg 2.75-2.95


Record 2
This record from the Alexandria database describes a relaxed K3Hg2Pd4 crystal. The functional is PBE.

Results
- Calculated volume: 27.46 Å³ per atom
- E_form: -0.165 eV per atom
- DOS at the Fermi energy: 3.4 states/eV/f.u.

a = 11.9027 Å, b = 4.7017 Å, c = 9.0884 Å
α = 90.00°, β = 103.60°, γ = 90.00°
With the nearest neighbours (Å) after each atom.
Space group C2/m (No. 12)
Asymmetric unit:
1 K 0.0000 0.0000 0.0000 [2 per cell]  2 Pd 3.09
2 K 0.1316 0.5000 0.3724 [4 per cell]  6 Pd 3.37-3.47, 2 Hg 3.48-3.53
3 Hg 0.1666 0.5000 0.7687 [4 per cell]  5 Pd 2.75-2.81
4 Pd 0.0807 0.0000 0.6294 [4 per cell]  2 Pd 2.66-2.84, 2 Hg 2.75
5 Pd 0.2375 0.0000 0.9183 [4 per cell]  3 Hg 2.75-2.81, 3 Pd 2.76-2.84


Record 3
This record from the Alexandria database describes a relaxed K2Hg5Pd5 crystal. The functional is PBE.

Results
- Calculated volume: 22.66 Å³ per atom
- E_form: -0.206 eV per atom
- DOS at the Fermi energy: 2.5 states/eV/f.u.

a = 4.5501 Å, b = 5.8554 Å, c = 10.2046 Å
α = 90.00°, β = 90.00°, γ = 90.00°
With the nearest neighbours (Å) after each atom.
Space group Pmmm (No. 47)
Asymmetric unit:
1 K 0.0000 0.0000 0.0000 [1 per cell]  6 Hg 3.16-3.38
2 K 0.0000 0.5000 0.5000 [1 per cell]  10 Hg 3.42-3.71, 8 Pd 3.70
3 Hg 0.0000 0.0000 0.3098 [2 per cell]  4 Pd 2.79, 2 Hg 2.99
4 Hg 0.0000 0.5000 0.1652 [2 per cell]  6 Pd 2.83
5 Hg 0.5000 0.0000 0.5000 [1 per cell]  4 Pd 2.95, 4 Hg 2.99
6 Pd 0.5000 0.2557 0.2511 [4 per cell]  5 Hg 2.79-2.95, 3 Pd 2.86-2.99
7 Pd 0.5000 0.5000 0.0000 [1 per cell]  4 Hg 2.83, 4 Pd 2.94


Record 4
This record from the Alexandria database describes a relaxed K2HgPd crystal. The functional is PBE.

Results
- Calculated volume: 31.79 Å³ per atom
- E_form: 0.017 eV per atom
- DOS at the Fermi energy: 1.4 states/eV/f.u.

a = 3.7823 Å, b = 3.7823 Å, c = 8.8878 Å
α = 90.00°, β = 90.00°, γ = 90.00°
With the nearest neighbours (Å) after each atom.
Space group P4/mmm (No. 123)
Asymmetric unit:
1 K 0.0000 0.0000 0.2172 [2 per cell]  4 Pd 3.30, 4 Hg 3.67
2 Hg 0.5000 0.5000 0.5000 [1 per cell]  8 K 3.67, 4 Hg 3.78
3 Pd 0.5000 0.5000 0.0000 [1 per cell]  8 K 3.30


Record 5
This record from the Alexandria database describes a relaxed KHg2Pd3 crystal. The functional is PBE.

Results
- Calculated volume: 21.90 Å³ per atom
- E_form: -0.216 eV per atom
- DOS at the Fermi energy: 2.0 states/eV/f.u.

a = 5.8202 Å, b = 5.8202 Å, c = 4.4789 Å
α = 90.00°, β = 90.00°, γ = 120.00°
With the nearest neighbours (Å) after each atom.
Space group P6/mmm (No. 191)
Asymmetric unit:
1 K 0.0000 0.0000 0.0000 [1 per cell]  6 Hg 3.36, 12 Pd 3.67
2 Hg 0.3333 0.6667 0.0000 [2 per cell]  6 Pd 2.80
3 Pd 0.0000 0.5000 0.5000 [3 per cell]  4 Hg 2.80, 4 Pd 2.91


Record 6
This record from the Alexandria database describes a relaxed K2HgPd2 crystal. The functional is PBE.

Results
- Polymorph energy (0 for the lowest one): 60 meV per atom
- Calculated volume: 26.33 Å³ per atom
- E_form: -0.088 eV per atom
- DOS at the Fermi energy: 0.9 states/eV/f.u.

a = 7.1145 Å, b = 7.1145 Å, c = 5.2023 Å
α = 90.00°, β = 90.00°, γ = 90.00°
With the nearest neighbours (Å) after each atom.
Space group P4/mbm (No. 127)
Asymmetric unit:
1 K 0.1737 0.3263 0.0000 [4 per cell]  6 Pd 3.24-3.41, 1 K 3.50
2 Hg 0.0000 0.0000 0.5000 [2 per cell]  4 Pd 2.77
3 Pd 0.1339 0.6339 0.5000 [4 per cell]  1 Pd 2.69, 2 Hg 2.77


Record 7
This record from the Alexandria database describes a relaxed K2Hg6Pd crystal. The functional is PBE.

Results
- Calculated volume: 29.04 Å³ per atom
- E_form: -0.207 eV per atom
- DOS at the Fermi energy: 4.1 states/eV/f.u.

a = 10.1492 Å, b = 10.1492 Å, c = 10.1492 Å
α = 90.00°, β = 90.00°, γ = 90.00°
With the nearest neighbours (Å) after each atom.
Space group Fm-3m (No. 225)
Asymmetric unit:
1 K 0.2500 0.2500 0.2500 [8 per cell]  12 Hg 3.60
2 Hg 0.0000 0.0000 0.2267 [24 per cell]  1 Pd 2.77
3 Pd 0.0000 0.0000 0.5000 [4 per cell]  6 Hg 2.77


Record 8
This record from the Alexandria database describes a relaxed K3Hg2Pd crystal. The functional is PBE.

Results
- Calculated volume: 37.03 Å³ per atom
- E_form: -0.199 eV per atom
- DOS at the Fermi energy: 2.9 states/eV/f.u.

a = 13.6764 Å, b = 4.7178 Å, c = 13.7738 Å
α = 90.00°, β = 90.00°, γ = 90.00°
With the nearest neighbours (Å) after each atom.
Space group Pnma (No. 62)
Asymmetric unit:
1 K 0.0541 0.2500 0.1219 [4 per cell]  1 Pd 3.50, 5 Hg 3.51-3.78
2 K 0.1091 0.7500 0.5497 [4 per cell]  3 Pd 3.43-3.47, 5 Hg 3.47-3.62
3 K 0.2165 0.2500 0.7817 [4 per cell]  2 Pd 3.39, 4 Hg 3.47-3.62
4 Hg 0.0315 0.7500 0.3096 [4 per cell]  2 Pd 2.80
5 Hg 0.2038 0.7500 0.9761 [4 per cell]  1 Pd 2.77
6 Pd 0.1269 0.2500 0.3656 [4 per cell]  3 Hg 2.77-2.80


Record 9
This record from the Alexandria database describes a relaxed K2Hg4Pd crystal. The functional is PBE.

Results
- Polymorph energy (0 for the lowest one): 0 meV per atom
- Calculated volume: 31.82 Å³ per atom
- E_form: -0.239 eV per atom
- DOS at the Fermi energy: 2.5 states/eV/f.u.

a = 5.3857 Å, b = 15.4491 Å, c = 5.3540 Å
α = 90.00°, β = 90.00°, γ = 90.00°
With the nearest neighbours (Å) after each atom.
Space group Cmmm (No. 65)
Asymmetric unit:
1 K 0.0000 0.1487 0.0000 [4 per cell]  10 Hg 3.53-3.83
2 Hg 0.0000 0.0000 0.5000 [2 per cell]  2 Pd 2.69
3 Hg 0.0000 0.3179 0.5000 [4 per cell]  1 Pd 2.81
4 Hg 0.0000 0.5000 0.0000 [2 per cell]  2 Pd 2.68
5 Pd 0.0000 0.5000 0.5000 [2 per cell]  6 Hg 2.68-2.81


Record 10
This record from the Alexandria database describes a relaxed K3Hg5Pd6 crystal. The functional is PBE.

Results
- Calculated volume: 24.31 Å³ per atom
- E_form: -0.196 eV per atom
- DOS at the Fermi energy: 3.9 states/eV/f.u.

a = 4.6591 Å, b = 10.8982 Å, c = 13.4063 Å
α = 90.00°, β = 90.00°, γ = 90.00°
With the nearest neighbours (Å) after each atom.
Space group Immm (No. 71)
Asymmetric unit:
1 K 0.0000 0.0000 0.0000 [2 per cell]  4 Pd 3.38
2 K 0.0000 0.0000 0.3092 [4 per cell]  6 Pd 3.32-3.52, 8 Hg 3.45-3.54
3 Hg 0.0000 0.3250 0.3170 [8 per cell]  4 Pd 2.79-2.85
4 Hg 0.0000 0.5000 0.0000 [2 per cell]  4 Pd 2.79
5 Pd 0.0000 0.1949 0.5000 [4 per cell]  4 Pd 2.75, 2 Hg 2.83
6 Pd 0.0000 0.2805 0.1074 [8 per cell]  3 Pd 2.75-2.88, 4 Hg 2.79-2.85


Record 11
This record from the Alexandria database describes a relaxed K6HgPd crystal. The functional is PBE.

Results
- Calculated volume: 53.77 Å³ per atom
- E_form: -0.056 eV per atom
- DOS at the Fermi energy: 4.3 states/eV/f.u.

a = 4.5186 Å, b = 13.2664 Å, c = 14.3516 Å
α = 90.00°, β = 90.00°, γ = 90.00°
With the nearest neighbours (Å) after each atom.
Space group Amm2 (No. 38)
Asymmetric unit:
1 K 0.0000 0.0000 0.0000 [2 per cell]  10 K 4.47-4.65
2 K 0.0000 0.1479 0.7062 [4 per cell]  2 Pd 3.43, 1 Hg 3.82
3 K 0.5000 0.0000 0.2732 [2 per cell]  2 Hg 3.71, 2 K 3.96
4 K 0.5000 0.2118 0.4680 [4 per cell]  1 Pd 3.30, 2 Hg 3.61
5 Hg 0.0000 0.0000 0.4779 [2 per cell]  2 Pd 2.76
6 Pd 0.5000 0.0000 0.5888 [2 per cell]  2 Hg 2.76


Record 12
This record from the Alexandria database describes a relaxed KHg7Pd5 crystal. The functional is PBE.

Results
- Calculated volume: 20.98 Å³ per atom
- E_form: -0.197 eV per atom
- DOS at the Fermi energy: 3.6 states/eV/f.u.

a = 5.7950 Å, b = 9.7834 Å, c = 9.6204 Å
α = 90.00°, β = 90.00°, γ = 90.00°
With the nearest neighbours (Å) after each atom.
Space group Imm2 (No. 44)
Asymmetric unit:
1 K 0.0000 0.0000 0.0000 [2 per cell]  8 Hg 3.14-3.46
2 Hg 0.0000 0.0000 0.3356 [2 per cell]  4 Pd 2.97, 3 Hg 3.06-3.26, 1 K 3.23
3 Hg 0.0000 0.0000 0.6741 [2 per cell]  6 Pd 2.93-3.00, 1 K 3.14, 1 Hg 3.26
4 Hg 0.0000 0.3073 0.4877 [4 per cell]  5 Pd 2.81-2.94, 1 Hg 3.02
5 Hg 0.0000 0.3351 0.0062 [4 per cell]  5 Pd 2.87-2.99, 1 Hg 3.09
6 Hg 0.0000 0.5000 0.7323 [2 per cell]  4 Pd 2.82, 6 Hg 3.02-3.09
7 Pd 0.0000 0.5000 0.2535 [2 per cell]  4 Pd 2.87, 6 Hg 2.87-3.00
8 Pd 0.2461 0.2519 0.7465 [8 per cell]  7 Hg 2.81-2.99, 3 Pd 2.85-2.94